{
  "formula": "TiZnCu2",
  "functional": "meta-GGA SCAN",
  "state": "single point on PBEsol structure",
  "lattice_angstrom": [[-1.901, 0.396, -1.841], [-1.755, -1.322, 1.528], [-1.852, 6.218, 3.251]],
  "species": ["Ti", "Zn", "Cu", "Cu"],
  "fractional_positions": [[0.500, 0.500, 0.000], [0.500, 0.500, 0.500], [0.000, 0.000, 0.737], [0.000, 0.000, 0.263]],
  "crystal_system": "tetragonal",
  "magnetic_moment_mub_per_fu": 0.00,
  "total_energy_ev_per_cell": -60.368
}

{
  "formula": "Li2CuAg",
  "functional": "meta-GGA SCAN",
  "state": "single point on PBEsol structure",
  "lattice_angstrom": [[4.294, 0.000, 0.000], [2.147, 3.719, 0.000], [2.147, 1.240, 3.506]],
  "species": ["Li", "Li", "Ag", "Cu"],
  "fractional_positions": [[0.000, 0.000, 0.000], [0.750, 0.750, 0.750], [0.500, 0.500, 0.500], [0.250, 0.250, 0.250]],
  "crystal_system": "cubic",
  "magnetic_moment_mub_per_fu": 0.00,
  "total_energy_ev_per_cell": -51.698
}

{
  "formula": "ReP4",
  "functional": "meta-GGA SCAN",
  "state": "single point on PBEsol structure",
  "lattice_angstrom": [[-5.512, 0.585, -2.787], [-4.108, -3.730, 7.341], [-1.158, 9.855, 4.360]],
  "species": ["P", "P", "P", "P", "P", "P", "P", "P", "P", "P", "P", "P", "P", "P", "P", "P", "P", "P", "P", "P", "P", "P", "P", "P", "P", "P", "P", "P", "P", "P", "P", "P", "Re", "Re", "Re", "Re", "Re", "Re", "Re", "Re"],
  "fractional_positions": [[0.753, 0.456, 0.581], [0.004, 0.709, 0.068], [0.438, 0.781, 0.236], [0.004, 0.791, 0.568], [0.504, 0.709, 0.432], [0.562, 0.281, 0.264], [0.687, 0.552, 0.762], [0.187, 0.948, 0.238], [0.062, 0.281, 0.236], [0.496, 0.209, 0.068], [0.813, 0.052, 0.762], [0.938, 0.719, 0.764], [0.247, 0.956, 0.919], [0.253, 0.456, 0.919], [0.747, 0.956, 0.581], [0.996, 0.209, 0.432], [0.687, 0.948, 0.262], [0.313, 0.448, 0.238], [0.438, 0.719, 0.736], [0.247, 0.544, 0.419], [0.504, 0.791, 0.932], [0.062, 0.219, 0.736], [0.813, 0.448, 0.262], [0.313, 0.052, 0.738], [0.938, 0.781, 0.264], [0.996, 0.291, 0.932], [0.562, 0.219, 0.764], [0.253, 0.044, 0.419], [0.496, 0.291, 0.568], [0.753, 0.044, 0.081], [0.747, 0.544, 0.081], [0.187, 0.552, 0.738], [0.379, 0.610, 0.075], [0.621, 0.390, 0.925], [0.121, 0.110, 0.075], [0.379, 0.890, 0.575], [0.879, 0.610, 0.425], [0.121, 0.390, 0.575], [0.879, 0.890, 0.925], [0.621, 0.110, 0.425]],
  "crystal_system": "orthorhombic",
  "magnetic_moment_mub_per_fu": 0.00,
  "total_energy_ev_per_cell": -916.958
}

{
  "formula": "SbRuCl2",
  "functional": "meta-GGA SCAN",
  "state": "single point on PBEsol structure",
  "lattice_angstrom": [[4.235, 0.000, 0.000], [0.000, 4.198, 0.000], [0.000, 0.000, 4.198]],
  "species": ["Ru", "Sb", "Cl", "Cl"],
  "fractional_positions": [[0.500, 0.500, 0.500], [0.500, 0.000, 0.000], [0.000, 0.000, 0.500], [0.000, 0.500, 0.000]],
  "crystal_system": "tetragonal",
  "polymorph_energy_mev_per_atom": 252.6,
  "magnetic_moment_mub_per_fu": 1.69,
  "formation_energy_uncorrected_ev_per_atom": 0.67,
  "total_energy_ev_per_cell": -85.374
}

{
  "formula": "K3RbGe",
  "functional": "meta-GGA SCAN",
  "state": "single point on PBEsol structure",
  "lattice_angstrom": [[7.171, 0.000, 0.000], [0.000, 7.171, 0.000], [0.000, 0.000, 7.171]],
  "species": ["K", "K", "K", "Rb", "Ge"],
  "fractional_positions": [[0.000, 0.000, 0.500], [0.000, 0.500, 0.000], [0.500, 0.000, 0.000], [0.000, 0.000, 0.000], [0.500, 0.500, 0.500]],
  "crystal_system": "cubic",
  "magnetic_moment_mub_per_fu": 2.03,
  "total_energy_ev_per_cell": -60.865
}

{
  "formula": "LiHS",
  "functional": "meta-GGA SCAN",
  "state": "single point on PBEsol structure",
  "lattice_angstrom": [[6.105, 0.000, 0.000], [0.000, 7.722, 0.000], [0.000, 0.000, 7.722]],
  "species": ["S", "S", "S", "S", "S", "S", "S", "S", "H", "H", "H", "H", "H", "H", "H", "H", "Li", "Li", "Li", "Li", "Li", "Li", "Li", "Li"],
  "fractional_positions": [[0.000, 0.250, 0.482], [0.000, 0.750, 0.018], [0.500, 0.982, 0.750], [0.500, 0.482, 0.750], [0.500, 0.018, 0.250], [0.000, 0.750, 0.518], [0.500, 0.518, 0.250], [0.000, 0.250, 0.982], [0.500, 0.307, 0.751], [0.000, 0.249, 0.307], [0.000, 0.749, 0.193], [0.000, 0.251, 0.807], [0.500, 0.693, 0.249], [0.500, 0.193, 0.251], [0.000, 0.751, 0.693], [0.500, 0.807, 0.749], [0.250, 0.500, 0.500], [0.750, 0.500, 0.500], [0.250, 0.000, 0.500], [0.250, 0.000, 0.000], [0.750, 0.000, 0.000], [0.750, 0.500, 0.000], [0.250, 0.500, 0.000], [0.750, 0.000, 0.500]],
  "crystal_system": "tetragonal",
  "magnetic_moment_mub_per_fu": 0.00,
  "total_energy_ev_per_cell": -144.801
}

{
  "formula": "K2CoW",
  "functional": "meta-GGA SCAN",
  "state": "single point on PBEsol structure",
  "lattice_angstrom": [[-0.484, -2.609, 0.507], [2.380, 0.654, 4.179], [-5.982, 2.424, 0.298]],
  "species": ["K", "K", "Co", "W"],
  "fractional_positions": [[0.500, 0.500, 0.500], [0.000, 0.000, 0.500], [0.000, 0.500, 0.000], [0.500, 0.000, 0.000]],
  "crystal_system": "monoclinic",
  "magnetic_moment_mub_per_fu": 1.15,
  "total_energy_ev_per_cell": -97.375
}

{
  "formula": "CaBr3O",
  "functional": "meta-GGA SCAN",
  "state": "single point on PBEsol structure",
  "lattice_angstrom": [[5.577, 0.000, 0.000], [0.000, 5.577, 0.000], [0.000, 0.000, 5.577]],
  "species": ["Ca", "Br", "Br", "Br", "O"],
  "fractional_positions": [[0.000, 0.000, 0.000], [0.500, 0.000, 0.000], [0.000, 0.500, 0.000], [0.000, 0.000, 0.500], [0.500, 0.500, 0.500]],
  "crystal_system": "cubic",
  "magnetic_moment_mub_per_fu": 3.03,
  "formation_energy_uncorrected_ev_per_atom": -0.46,
  "total_energy_ev_per_cell": -76.580
}

> What is the formula in the first record?

TiZnCu2